Entry from Alexandria via LeMat-Bulk: a geometry-optimized Na2HfTlW structure (PBEsol).

Cell and atoms, written as CIF:
```
data_Na2HfTlW
_symmetry_space_group_name_H-M 'P 4/m m m'
_symmetry_Int_Tables_number 123
_symmetry_space_group_name_Hall '-P 4 2'
_cell_length_a 4.936
_cell_length_b 4.936
_cell_length_c 5.546
_cell_angle_alpha 90.00
_cell_angle_beta 90.00
_cell_angle_gamma 90.00
loop_
_atom_site_label
_atom_site_type_symbol
_atom_site_fract_x
_atom_site_fract_y
_atom_site_fract_z
Na1 Na 0.000 0.500 0.000
Hf1 Hf 0.000 0.000 0.500
Tl1 Tl 0.000 0.000 0.000
W1 W 0.500 0.500 0.500
```

Calculated values
DOS(E_F) = 0.8625 states/eV/atom
total magnetic moment = 2.329 μB/f.u.
energy of formation = 1.8516 eV/atom
density = 7.530 g/cm³